{"formula": "NiRh2Au", "functional": "GGA-PBEsol", "state": "relaxed", "ef_kj_per_mol_fu": 61, "spacegroup": "R-3m (166)", "polymorph_energy_kj_per_mol_fu": 26, "energy_ev_per_atom": -6.432, "lattice_angstrom": [[-0.4430, 2.1002, 1.6488], [-0.7494, -0.4280, 2.5653], [7.9451, 0.4217, 3.8191]], "species": ["Au", "Ni", "Rh", "Rh"], "fractional_positions": [[0.5000, 0.5000, 0.5000], [0.0000, 0.0000, 0.0000], [0.2573, 0.2573, 0.2282], [0.7427, 0.7427, 0.7718]]}

=====

{"formula": "MgCuTc2", "functional": "GGA-PBEsol", "state": "relaxed", "ef_kj_per_mol_fu": 145, "spacegroup": "R-3m (166)", "energy_ev_per_atom": -6.770, "lattice_angstrom": [[-0.5866, 0.6707, -2.5378], [-2.5267, -0.2119, -0.8973], [-2.6792, 8.6306, 1.4749]], "species": ["Cu", "Mg", "Tc", "Tc"], "fractional_positions": [[0.5000, 0.5000, 0.5000], [0.0000, 0.0000, 0.0000], [0.2460, 0.2460, 0.2621], [0.7540, 0.7540, 0.7379]]}

=====

{"formula": "RbSnSeN2", "functional": "GGA-PBEsol", "state": "relaxed", "spacegroup": "P4/mmm (123)", "raw_formation_energy_ev_per_atom": 0.79, "energy_ev_per_atom": -4.448, "lattice_angstrom": [[4.4200, 0.0000, 0.0000], [0.0000, 4.4200, 0.0000], [0.0000, 0.0000, 5.3640]], "species": ["Se", "Sn", "Rb", "N", "N"], "fractional_positions": [[0.0000, 0.0000, 0.5000], [0.0000, 0.0000, 0.0000], [0.5000, 0.5000, 0.5000], [0.0000, 0.5000, 0.0000], [0.5000, 0.0000, 0.0000]]}

=====

{"formula": "BeSb2Te", "functional": "GGA-PBEsol", "state": "relaxed", "spacegroup": "Cm (8)", "polymorph_energy_kj_per_mol_fu": 0, "raw_formation_energy_ev_per_atom": 0.20, "energy_ev_per_atom": -3.958, "lattice_angstrom": [[-1.4482, -1.7329, 2.7379], [4.4236, -1.3983, 1.4549], [-1.0778, 6.1327, 1.0112]], "species": ["Sb", "Sb", "Te", "Be"], "fractional_positions": [[0.9210, 0.9521, 0.8421], [0.7596, 0.2787, 0.5192], [0.5824, 0.6164, 0.1647], [0.2370, 0.6527, 0.4740]]}

=====

{"formula": "MnAsBr2", "functional": "GGA-PBEsol", "state": "relaxed", "spacegroup": "Fm-3m (225)", "polymorph_energy_kj_per_mol_fu": 37, "raw_formation_energy_ev_per_atom": 0.47, "energy_ev_per_atom": -4.186, "lattice_angstrom": [[4.8430, 0.0000, 0.0000], [2.4215, 4.1941, 0.0000], [2.4215, 1.3980, 3.9543]], "species": ["As", "Br", "Br", "Mn"], "fractional_positions": [[0.5000, 0.5000, 0.5000], [0.2500, 0.2500, 0.2500], [0.7500, 0.7500, 0.7500], [0.0000, 0.0000, 0.0000]]}

=====

{"formula": "Lu3In", "functional": "GGA-PBEsol", "state": "relaxed", "ef_kj_per_mol_fu": -106, "spacegroup": "P6_3/mmc (194)", "energy_ev_per_atom": -4.675, "lattice_angstrom": [[-2.3195, -3.5841, -3.2493], [0.1199, -4.4880, 4.8648], [-5.2284, 4.0025, -0.6826]], "species": ["Lu", "Lu", "Lu", "Lu", "Lu", "Lu", "In", "In"], "fractional_positions": [[0.2500, 0.3386, 0.1693], [0.2500, 0.8307, 0.1693], [0.2500, 0.8307, 0.6614], [0.7500, 0.6614, 0.8307], [0.7500, 0.1693, 0.8307], [0.7500, 0.1693, 0.3386], [0.7500, 0.6667, 0.3333], [0.2500, 0.3333, 0.6667]]}

=====

> Which formula does entry 6 have?

Lu3In